No. 1
An optimized crystal structure of BaZrS2O8, computed with PBE-GGA.

abc: 5.2513 5.2513 8.0693
angles: 90.00 90.00 120.00
Element x y z (fractional)
Ba (0.0000, 0.0000, 0.0000)
Zr (0.0000, 0.0000, 0.5000)
S (0.3333, 0.6667, 0.7604)
S (0.6667, 0.3333, 0.2396)
O (0.1719, 0.3561, 0.7024)
O (0.1842, 0.8281, 0.7024)
O (0.3333, 0.6667, 0.9448)
O (0.3561, 0.1842, 0.2976)
O (0.6439, 0.8158, 0.7024)
O (0.6667, 0.3333, 0.0552)
O (0.8158, 0.1719, 0.2976)
O (0.8281, 0.6439, 0.2976)

SG = P-3 (147)
Fermi-level density of states = 2.9 states/eV per cell
uncorrected formation energy = -1.8442 eV per atom
raw total energy = -6.71 eV per atom

---

No. 2
An optimized crystal structure of Ba2SbO6, computed with PBE-GGA.

abc: 6.6991 6.6991 3.9832
angles: 98.62 98.62 56.52
Element x y z (fractional)
Ba (0.1645, 0.1645, 0.1764)
Ba (0.8355, 0.8355, 0.8236)
Sb (0.5000, 0.5000, 0.5000)
O (0.1613, 0.5875, 0.3455)
O (0.3022, 0.6978, 0.0000)
O (0.4125, 0.8387, 0.6545)
O (0.5875, 0.1613, 0.3455)
O (0.6978, 0.3022, 0.0000)
O (0.8387, 0.4125, 0.6545)

SG = C2/m (12)
Fermi-level density of states = 3.5 states/eV per cell
uncorrected formation energy = -1.4568 eV per atom
raw total energy = -5.65 eV per atom

---

No. 3
An optimized crystal structure of Ba6Sb2O, computed with PBE-GGA.

abc: 7.6362 9.2774 12.9370
angles: 90.00 124.14 90.00
Element x y z (fractional)
Ba (0.1275, 0.0309, 0.2422)
Ba (0.1275, 0.4691, 0.7422)
Ba (0.1928, 0.7122, 0.0559)
Ba (0.1928, 0.7878, 0.5559)
Ba (0.3699, 0.1542, 0.0511)
Ba (0.3699, 0.3458, 0.5511)
Ba (0.6301, 0.6542, 0.4489)
Ba (0.6301, 0.8458, 0.9489)
Ba (0.8072, 0.2122, 0.4441)
Ba (0.8072, 0.2878, 0.9441)
Ba (0.8725, 0.5309, 0.2578)
Ba (0.8725, 0.9691, 0.7578)
Sb (0.3071, 0.1149, 0.7412)
Sb (0.3071, 0.3851, 0.2412)
Sb (0.6929, 0.6149, 0.7588)
Sb (0.6929, 0.8851, 0.2588)
O (0.0000, 0.0000, 0.0000)
O (0.0000, 0.5000, 0.5000)

SG = P2_1/c (14)
Fermi-level density of states = 14.6 states/eV per cell
uncorrected formation energy = -1.0675 eV per atom
raw total energy = -3.82 eV per atom

---

No. 4
An optimized crystal structure of Ba3Sb2O6, computed with PBE-GGA.

abc: 4.5698 4.5698 10.5739
angles: 100.47 100.47 91.30
Element x y z (fractional)
Ba (0.0000, 0.0000, 0.0000)
Ba (0.1759, 0.1759, 0.3618)
Ba (0.8241, 0.8241, 0.6382)
Sb (0.3994, 0.3994, 0.8111)
Sb (0.6006, 0.6006, 0.1889)
O (0.1572, 0.6052, 0.1903)
O (0.2773, 0.2773, 0.6150)
O (0.3948, 0.8428, 0.8097)
O (0.6052, 0.1572, 0.1903)
O (0.7227, 0.7227, 0.3850)
O (0.8428, 0.3948, 0.8097)

SG = C2/m (12)
uncorrected formation energy = -2.1058 eV per atom
raw total energy = -6.08 eV per atom

---

No. 5
An optimized crystal structure of BaSbO2, computed with PBE-GGA.

abc: 7.3591 7.3591 7.3591
angles: 136.77 136.77 62.79
Element x y z (fractional)
Ba (0.0000, 0.0000, 0.0000)
Ba (0.7500, 0.2500, 0.5000)
Sb (0.2500, 0.7500, 0.5000)
Sb (0.5000, 0.5000, 0.0000)
O (0.1803, 0.6250, 0.0553)
O (0.3750, 0.4303, 0.5553)
O (0.5697, 0.1250, 0.9447)
O (0.8750, 0.8197, 0.4447)

SG = I-42d (122)
Fermi-level density of states = 3.6 states/eV per cell
uncorrected formation energy = -1.3931 eV per atom
raw total energy = -5.38 eV per atom

---

No. 6
An optimized crystal structure of BaSbO2, computed with PBE-GGA.

abc: 4.0160 6.4509 7.7117
angles: 90.00 104.86 90.00
Element x y z (fractional)
Ba (0.1815, 0.2500, 0.3607)
Ba (0.8185, 0.7500, 0.6393)
Sb (0.4272, 0.2500, 0.8607)
Sb (0.5728, 0.7500, 0.1393)
O (0.3394, 0.0250, 0.6822)
O (0.3394, 0.4750, 0.6822)
O (0.6606, 0.5250, 0.3178)
O (0.6606, 0.9750, 0.3178)

SG = P2_1/m (11)
Fermi-level density of states = 1.0 states/eV per cell
uncorrected formation energy = -1.9122 eV per atom
raw total energy = -5.90 eV per atom